## TaCd3 (PBE)

Data for a geometry-optimized TaCd3 structure.

VASP energy (eV per cell): -49.28

Geometry as CIF:
```
data_TaCd3
_chemical_formula_sum 'Ta4 Cd12'
_cell_length_a 6.8938
_cell_length_b 6.8938
_cell_length_c 6.8938
_cell_angle_alpha 90.00
_cell_angle_beta 90.00
_cell_angle_gamma 90.00
_space_group_name_H-M_alt 'F m -3 m'
_space_group_IT_number 225
_space_group_name_Hall '-F 4 2 3'
loop_
_atom_site_label
_atom_site_type_symbol
_atom_site_fract_x
_atom_site_fract_y
_atom_site_fract_z
Ta1 Ta 0.0000 0.0000 0.0000
Cd1 Cd 0.0000 0.0000 0.5000
Cd2 Cd 0.2500 0.2500 0.2500
```